Pm4InPd | Alexandria | PBE | optimized geometry; energy above the lowest structure with this stoichiometry = 0.000 eV per atom; electronic total energy = -4.9511 eV per atom; density = 7.565 Mg/m³; energy of formation from the pure elements = -0.46 eV per atom
1.0
0.000 7.059 7.059
7.059 0.000 7.059
7.059 7.059 0.000
Pm In Pd
16 4 4
Cartesian
3.530 3.530 0.806
3.530 0.806 3.530
6.253 3.530 3.530
7.059 7.059 2.627
7.059 2.627 7.059
11.491 7.059 7.059
8.500 5.618 5.618
0.806 3.530 3.530
3.530 6.253 3.530
3.530 3.530 6.253
5.618 8.500 5.618
5.618 5.618 8.500
8.500 8.500 8.500
2.627 7.059 7.059
7.059 11.491 7.059
7.059 7.059 11.491
11.738 9.439 9.439
9.439 11.738 9.439
9.439 9.439 11.738
11.738 11.738 11.738
5.560 5.560 5.560
8.558 8.558 5.560
8.558 5.560 8.558
5.560 8.558 8.558